Entry 1:
# PBE Sm3Er3In, relaxed
# formation energy: -0.11 eV per atom
# symmetry: P6_3/m
# crystal system: hexagonal
# magnetic moment: 0.0 μB/f.u.
data_Sm3Er3In
_cell_length_a 5.563
_cell_length_b 9.436
_cell_length_c 9.437
_cell_angle_alpha 120.03
_cell_angle_beta 90.00
_cell_angle_gamma 90.00
_space_group_name_H-M_alt 'P 1'
_space_group_IT_number 1
_space_group_name_Hall 'P 1'
loop_
_atom_site_label
_atom_site_type_symbol
_atom_site_fract_x
_atom_site_fract_y
_atom_site_fract_z
Sm1 Sm 0.250 0.105 0.476
Sm2 Sm 0.250 0.524 0.630
Sm3 Sm 0.750 0.476 0.370
Sm4 Sm 0.750 0.630 0.106
Sm5 Sm 0.750 0.895 0.524
Sm6 Sm 0.250 0.370 0.894
Er1 Er 0.250 0.940 0.763
Er2 Er 0.750 0.177 0.940
Er3 Er 0.750 0.060 0.237
Er4 Er 0.250 0.823 0.060
Er5 Er 0.750 0.763 0.823
Er6 Er 0.250 0.237 0.177
In1 In 0.750 0.333 0.667
In2 In 0.250 0.667 0.333

Entry 2:
# PBE ZrTe2IO, relaxed
# ΔE to the lowest computed polymorph: 350 meV per atom
# symmetry: P4/mmm
# crystal system: tetragonal
# formation energy (no corrections): 1.98 eV/f.u.
# magnetic moment: 0.0 μB/f.u.
data_ZrTe2IO
_cell_length_a 5.578
_cell_length_b 5.578
_cell_length_c 5.634
_cell_angle_alpha 90.00
_cell_angle_beta 90.00
_cell_angle_gamma 90.00
_space_group_name_H-M_alt 'P 1'
_space_group_IT_number 1
_space_group_name_Hall 'P 1'
loop_
_atom_site_label
_atom_site_type_symbol
_atom_site_fract_x
_atom_site_fract_y
_atom_site_fract_z
Zr1 Zr 0.000 0.000 0.000
Te1 Te 0.500 0.000 0.000
Te2 Te 0.000 0.500 0.000
I1 I 0.000 0.000 0.500
O1 O 0.500 0.500 0.500

Entry 3:
# PBE Ce4AsC2N, relaxed
# symmetry: Cmcm
# crystal system: orthorhombic
# formation energy (no corrections): -5.44 eV/f.u.
# magnetic moment: 1.6 μB/f.u.
data_Ce4AsC2N
_cell_length_a 3.889
_cell_length_b 6.677
_cell_length_c 12.923
_cell_angle_alpha 90.00
_cell_angle_beta 90.00
_cell_angle_gamma 106.93
_space_group_name_H-M_alt 'P 1'
_space_group_IT_number 1
_space_group_name_Hall 'P 1'
loop_
_atom_site_label
_atom_site_type_symbol
_atom_site_fract_x
_atom_site_fract_y
_atom_site_fract_z
C1 C 0.631 0.262 0.054
C2 C 0.369 0.738 0.946
C3 C 0.631 0.262 0.446
C4 C 0.369 0.738 0.554
As1 As 0.113 0.226 0.750
As2 As 0.887 0.774 0.250
N1 N 0.844 0.688 0.750
N2 N 0.156 0.312 0.250
Ce1 Ce 0.738 0.475 0.610
Ce2 Ce 0.738 0.475 0.890
Ce3 Ce 0.262 0.525 0.390
Ce4 Ce 0.434 0.867 0.750
Ce5 Ce 0.262 0.525 0.110
Ce6 Ce 0.000 0.000 0.000
Ce7 Ce 0.000 0.000 0.500
Ce8 Ce 0.566 0.133 0.250

Q: magnetic moment of number 1 (Sm3Er3In)?
A: 0.0 μB/f.u.

Q: Among the records above, which one has the highest magnetic moment?
A: Ce4AsC2N